[1]
Here is crystalline Ba4Na5Hg2 at its relaxed geometry from the Alexandria database. Energies are from PBE.

Calculated values
- Space-group type: No. 10

Unit cell a=9.322 b=4.455 c=11.894 alpha=90.00 beta=93.02 gamma=90.00
Fractional positions:
Ba: 0.166 0.000 0.356
Ba: 0.211 0.000 0.951
Ba: 0.789 0.000 0.049
Ba: 0.834 0.000 0.644
Na: 0.193 0.500 0.659
Na: 0.447 0.500 0.184
Na: 0.500 0.500 0.500
Na: 0.553 0.500 0.816
Na: 0.807 0.500 0.341
Hg: 0.065 0.500 0.146
Hg: 0.935 0.500 0.854

=====

[2]
Here is crystalline MnW at its relaxed geometry from the Alexandria database. Energies are from PBE.

Calculated values
- Space-group type: No. 166

Unit cell a=8.884 b=8.884 c=8.884 alpha=17.56 beta=17.56 gamma=17.56
Fractional positions:
Mn: 0.133 0.133 0.133
Mn: 0.867 0.867 0.867
W: 0.381 0.381 0.381
W: 0.619 0.619 0.619

=====

[3]
Here is crystalline YBi2Pb2 at its relaxed geometry from the Alexandria database. Energies are from PBE.

Calculated values
- E above lowest polymorph: 0.205 eV per atom
- Space-group type: No. 139

Unit cell a=8.914 b=8.914 c=8.914 alpha=150.79 beta=150.79 gamma=41.79
Fractional positions:
Y: 0.000 0.000 0.000
Bi: 0.250 0.750 0.500
Bi: 0.750 0.250 0.500
Pb: 0.408 0.408 0.000
Pb: 0.592 0.592 0.000

=====

[4]
Here is crystalline Pu2MnZn at its relaxed geometry from the Alexandria database. Energies are from PBE.

Calculated values
- E above lowest polymorph: 0.511 eV per atom
- Space-group type: No. 166

Unit cell a=11.382 b=11.382 c=11.382 alpha=13.58 beta=13.58 gamma=13.58
Fractional positions:
Pu: 0.092 0.092 0.092
Pu: 0.908 0.908 0.908
Mn: 0.500 0.500 0.500
Zn: 0.000 0.000 0.000

=====

no.,D(E_F) (states/eV/f.u.),E_tot (Ry/atom)
1,7.6,-0.113
2,2.3,-0.785
3,3.1,-0.314
4,7.5,-0.680